First-principles (GGA+U) data for Sr2FePbO5 after structural relaxation, as listed in Alexandria via LeMat-Bulk.

Lattice parameters (Å, degrees): 3.522 7.136 11.144 90.00 90.00 104.29
Last column: magnetic moment on the atom in μB.
Positions (direct):
O: 0.314 0.628 0.392  0.04
Sr: 0.154 0.309 0.279  0.00
O: 0.487 0.974 0.776  0.01
Sr: 0.846 0.691 0.779  0.00
Fe: 0.772 0.544 0.521  3.76
Sr: 0.103 0.206 0.682  0.00
O: 0.067 0.135 0.060  0.03
O: 0.513 0.026 0.276  0.01
O: 0.273 0.545 0.644  0.06
Pb: 0.535 0.070 0.956  0.01
O: 0.933 0.865 0.560  0.03
O: 0.686 0.372 0.892  0.04
Pb: 0.465 0.930 0.456  0.01
O: 0.727 0.455 0.144  0.06
O: 0.383 0.766 0.014  0.01
O: 0.617 0.234 0.514  0.01
Fe: 0.228 0.456 0.021  3.76
Sr: 0.897 0.794 0.182  0.00

Properties
DOS(E_F) (states/eV/cell): 2.62
DFT total energy (eV per atom): -5.98